The following is a GGA-PBE calculation of a relaxed structure of YVGaBi2, from the Alexandria database.

**Energy of formation**: 1.619 eV per formula unit

The structure in CIF format:
```
data_YVGaBi2
_chemical_formula_sum 'Y1 V1 Ga1 Bi2'
_cell_length_a 5.2607
_cell_length_b 5.2607
_cell_length_c 5.2633
_cell_angle_alpha 90.00
_cell_angle_beta 90.00
_cell_angle_gamma 90.00
_space_group_name_H-M_alt 'P 4/m m m'
_space_group_IT_number 123
_space_group_name_Hall '-P 4 2'
loop_
_atom_site_label
_atom_site_type_symbol
_atom_site_fract_x
_atom_site_fract_y
_atom_site_fract_z
_atom_site_occupancy
Y1 Y 0.0000 0.0000 0.0000 1
V1 V 0.0000 0.0000 0.5000 1
Ga1 Ga 0.5000 0.5000 0.0000 1
Bi1 Bi 0.0000 0.5000 0.5000 1
```

The following is a GGA-PBE calculation of a relaxed structure of VZn2GaBi, from the Alexandria database.

**Energy of formation**: 3.238 eV per formula unit

The structure in CIF format:
```
data_VZn2GaBi
_chemical_formula_sum 'V1 Zn2 Ga1 Bi1'
_cell_length_a 4.8468
_cell_length_b 4.8468
_cell_length_c 4.8308
_cell_angle_alpha 90.00
_cell_angle_beta 90.00
_cell_angle_gamma 90.00
_space_group_name_H-M_alt 'P 4/m m m'
_space_group_IT_number 123
_space_group_name_Hall '-P 4 2'
loop_
_atom_site_label
_atom_site_type_symbol
_atom_site_fract_x
_atom_site_fract_y
_atom_site_fract_z
_atom_site_occupancy
V1 V 0.0000 0.0000 0.0000 1
Zn1 Zn 0.0000 0.5000 0.0000 1
Ga1 Ga 0.0000 0.0000 0.5000 1
Bi1 Bi 0.5000 0.5000 0.5000 1
```